Entry 1:
6
Lattice="8.510 -1.766 0.000 8.510 1.766 0.000 -0.733 0.000 6.075" Properties=species:S:1:pos:R:3 comment="CeYTm4 PBE optimized geometry" formation_enthalpy_0k_kj_per_mol_atoms=2 relative_energy_mev_per_atom=0 dft_energy_ev_per_cell=-30.1 pbc="T T T"
Ce 0.000 0.000 0.000
Y 8.144 0.000 3.038
Tm 2.579 0.000 2.350
Tm 5.592 0.000 0.658
Tm 10.696 0.000 5.417
Tm 13.709 0.000 3.725

***

Entry 2:
6
Lattice="0.000 4.552 4.552 4.552 0.000 4.552 4.552 4.552 0.000" Properties=species:S:1:pos:R:3 comment="PuHgPb4 PBE optimized geometry" formation_enthalpy_0k_kj_per_mol_atoms=12 dft_energy_ev_per_cell=-28.7 pbc="T T T"
Pu 0.000 0.000 0.000
Hg 2.276 2.276 2.276
Pb 5.694 3.409 3.409
Pb 3.409 5.694 3.409
Pb 3.409 3.409 5.694
Pb 5.694 5.694 5.694

***

Entry 3:
5
Lattice="4.949 0.000 0.000 0.000 4.949 0.000 0.000 0.000 4.949" Properties=species:S:1:pos:R:3 comment="Ga3AgC PBE optimized geometry" formation_enthalpy_0k_kj_per_mol_atoms=148 relative_energy_mev_per_atom=854 dft_energy_ev_per_cell=-13.5 pbc="T T T"
Ga 0.000 0.000 2.474
Ga 0.000 2.474 0.000
Ga 2.474 0.000 0.000
Ag 0.000 0.000 0.000
C 2.474 2.474 2.474

***

Entry 4:
3
Lattice="-1.341 1.341 5.075 1.341 -1.341 5.075 1.341 1.341 -5.075" Properties=species:S:1:pos:R:3 comment="TaVH PBE optimized geometry" relative_energy_mev_per_atom=490 dft_energy_ev_per_cell=-23.3 pbc="T T T"
Ta 0.000 0.000 0.000
V 0.000 0.000 2.695
H 0.000 0.000 8.080

***

Entry 5:
18
Lattice="4.532 2.616 7.374 -4.532 2.616 7.374 0.000 -5.233 7.374" Properties=species:S:1:pos:R:3 comment="NaSr2Mg12Zn3 PBE optimized geometry" formation_enthalpy_0k_kj_per_mol_atoms=22 dft_energy_ev_per_cell=-23.6 pbc="T T T"
Na 0.000 0.000 0.000
Sr 0.000 0.000 9.204
Sr 0.000 0.000 12.917
Mg -2.851 -1.646 12.184
Mg 0.000 -1.957 6.396
Mg -1.695 0.978 6.396
Mg 0.000 -3.292 9.937
Mg -2.851 1.646 9.937
Mg -1.695 -0.978 15.726
Mg 1.695 0.978 6.396
Mg 2.851 -1.646 12.184
Mg 0.000 3.292 12.184
Mg 1.695 -0.978 15.726
Mg 0.000 1.957 15.726
Mg 2.851 1.646 9.937
Zn -4.532 0.000 11.061
Zn -2.266 1.308 3.687
Zn 2.266 1.308 3.687

***

Entry 6:
3
Lattice="-1.470 1.841 6.187 1.470 -1.841 6.187 1.470 1.841 -6.187" Properties=species:S:1:pos:R:3 comment="PRhI PBE optimized geometry" raw_formation_energy_kj_per_mol_atoms=3.87 relative_energy_mev_per_atom=185 dft_energy_ev_per_cell=-14.2 pbc="T T T"
P 0.000 0.000 0.000
Rh 0.000 0.000 5.700
I 0.000 0.000 2.920

***

Entry 7:
20
Lattice="-4.798 6.059 2.808 4.798 -6.059 2.808 4.798 6.059 -2.808" Properties=species:S:1:pos:R:3 comment="Tm2Si5Os3 PBE optimized geometry" raw_formation_energy_kj_per_mol_atoms=-69.13 dft_energy_ev_per_cell=-153.8 pbc="T T T"
Tm 2.229 1.655 0.000
Tm 2.229 -1.655 2.808
Tm 2.569 7.714 0.000
Tm 2.569 4.403 2.808
Si 4.798 -2.513 1.404
Si 6.422 1.152 0.000
Si 0.000 0.000 1.404
Si 1.624 4.907 0.000
Si 4.798 2.513 1.404
Si 0.000 3.546 1.404
Si 3.173 1.152 2.808
Si 0.000 0.000 4.212
Si -1.624 4.907 2.808
Si 0.000 8.571 1.404
Os 3.885 -4.271 2.808
Os 4.798 0.000 1.404
Os 3.885 4.271 0.000
Os 0.913 1.787 2.808
Os 0.000 6.059 1.404
Os 0.913 10.330 0.000

***

Entry 8:
5
Lattice="5.234 0.000 0.000 0.000 5.234 0.000 0.000 0.000 5.315" Properties=species:S:1:pos:R:3 comment="BiSb2TeP PBE optimized geometry" raw_formation_energy_kj_per_mol_atoms=43.81 relative_energy_mev_per_atom=0 dft_energy_ev_per_cell=-18.4 pbc="T T T"
Bi 0.000 0.000 0.000
Sb 0.000 2.617 2.657
Sb 2.617 0.000 2.657
Te 2.617 2.617 0.000
P 2.617 2.617 2.657

***

Entry 9:
4
Lattice="3.814 0.000 0.000 0.000 3.814 0.000 0.000 0.000 5.957" Properties=species:S:1:pos:R:3 comment="U2GaAu PBE optimized geometry" formation_enthalpy_0k_kj_per_mol_atoms=-2 dft_energy_ev_per_cell=-28.9 pbc="T T T"
U 0.000 0.000 1.201
U 0.000 0.000 4.757
Ga 1.907 1.907 0.000
Au 1.907 1.907 2.979

***

Entry 10:
10
Lattice="6.732 0.000 0.000 0.000 6.732 0.000 0.000 0.000 5.165" Properties=species:S:1:pos:R:3 comment="Na2Al2Ga PBE optimized geometry" formation_enthalpy_0k_kj_per_mol_atoms=6 relative_energy_mev_per_atom=0 dft_energy_ev_per_cell=-25.7 pbc="T T T"
Na 1.169 2.197 0.000
Na 2.197 5.563 0.000
Na 4.535 1.169 0.000
Na 5.563 4.535 0.000
Al 0.916 4.282 2.583
Al 2.450 0.916 2.583
Al 4.282 5.816 2.583
Al 5.816 2.450 2.583
Ga 0.000 0.000 2.583
Ga 3.366 3.366 2.583

***

Entry 11:
4
Lattice="1.911 1.103 9.061 -1.911 1.103 9.061 0.000 -2.207 9.061" Properties=species:S:1:pos:R:3 comment="Sc2TlGe PBE optimized geometry" formation_enthalpy_0k_kj_per_mol_atoms=-14 dft_energy_ev_per_cell=-20.2 pbc="T T T"
Sc 0.000 0.000 3.059
Sc 0.000 0.000 24.124
Tl 0.000 0.000 0.000
Ge 0.000 0.000 13.591

***

Entry 12:
8
Lattice="2.738 1.581 8.974 -2.738 1.581 8.974 0.000 -3.162 8.974" Properties=species:S:1:pos:R:3 comment="AcPmDy2In4 PBE optimized geometry" formation_enthalpy_0k_kj_per_mol_atoms=-42 dft_energy_ev_per_cell=-32.5 pbc="T T T"
Ac 0.000 0.000 0.000
Pm 0.000 0.000 13.461
Dy 0.000 0.000 6.722
Dy 0.000 0.000 20.200
In 0.000 0.000 3.433
In 0.000 0.000 10.179
In 0.000 0.000 16.743
In 0.000 0.000 23.489

***

Entry 13:
8
Lattice="2.123 -10.228 0.000 2.123 10.228 0.000 0.000 0.000 4.036" Properties=species:S:1:pos:R:3 comment="Zr2ScGa PBE optimized geometry" formation_enthalpy_0k_kj_per_mol_atoms=-27 dft_energy_ev_per_cell=-55.1 pbc="T T T"
Zr 2.123 9.003 3.027
Zr 2.123 1.319 3.027
Zr 2.123 -1.319 1.009
Zr 2.123 -9.003 1.009
Sc 2.123 4.001 1.009
Sc 2.123 -4.001 3.027
Ga 2.123 6.830 1.009
Ga 2.123 -6.830 3.027

***

Entry 14:
8
Lattice="4.784 0.000 0.000 0.000 4.829 0.000 0.000 0.000 12.376" Properties=species:S:1:pos:R:3 comment="Ac4CuPb3 PBE optimized geometry" formation_enthalpy_0k_kj_per_mol_atoms=-38 dft_energy_ev_per_cell=-34.8 pbc="T T T"
Ac 0.000 0.000 0.000
Ac 0.000 2.415 5.875
Ac 2.392 0.000 8.795
Ac 2.392 2.415 2.690
Cu 0.000 0.000 3.445
Pb 0.000 2.415 9.376
Pb 2.392 0.000 5.252
Pb 2.392 2.415 11.643

***

Entry 15:
5
Lattice="5.369 0.000 0.000 0.000 5.369 0.000 0.000 0.000 5.369" Properties=species:S:1:pos:R:3 comment="KSb3Mo PBE optimized geometry" raw_formation_energy_kj_per_mol_atoms=17.46 relative_energy_mev_per_atom=0 dft_energy_ev_per_cell=-23.4 pbc="T T T"
K 0.000 0.000 0.000
Sb 0.000 2.684 2.684
Sb 2.684 0.000 2.684
Sb 2.684 2.684 0.000
Mo 2.684 2.684 2.684

***

Entry 16:
4
Lattice="0.000 3.616 3.616 3.616 0.000 3.616 3.616 3.616 0.000" Properties=species:S:1:pos:R:3 comment="ZnInAgBi PBE optimized geometry" formation_enthalpy_0k_kj_per_mol_atoms=14 dft_energy_ev_per_cell=-10.2 pbc="T T T"
Zn 0.000 0.000 0.000
In 5.424 5.424 5.424
Ag 3.616 3.616 3.616
Bi 1.808 1.808 1.808

***

Entry 17:
4
Lattice="-1.888 1.888 3.758 1.888 -1.888 3.758 1.888 1.888 -3.758" Properties=species:S:1:pos:R:3 comment="BeIr3 PBE optimized geometry" formation_enthalpy_0k_kj_per_mol_atoms=-11 dft_energy_ev_per_cell=-30.8 pbc="T T T"
Be 0.000 0.000 0.000
Ir 1.888 0.000 1.879
Ir 0.000 0.000 3.758
Ir 0.000 1.888 1.879

***

Entry 18:
10
Lattice="-2.226 2.226 15.735 2.226 -2.226 15.735 2.226 2.226 -15.735" Properties=species:S:1:pos:R:3 comment="Ac5NiSe4 PBE optimized geometry" raw_formation_energy_kj_per_mol_atoms=-145.44 dft_energy_ev_per_cell=-55.3 pbc="T T T"
Ac 0.000 0.000 0.000
Ac 0.000 0.000 6.362
Ac 0.000 0.000 12.756
Ac 0.000 0.000 18.713
Ac 0.000 0.000 25.108
Ni 0.000 0.000 15.735
Se 0.000 0.000 3.225
Se 0.000 0.000 9.564
Se 0.000 0.000 21.906
Se 0.000 0.000 28.245

***

Entry 19:
4
Lattice="0.000 3.815 3.815 3.815 0.000 3.815 3.815 3.815 0.000" Properties=species:S:1:pos:R:3 comment="Tm2PuMg PBE optimized geometry" formation_enthalpy_0k_kj_per_mol_atoms=14 relative_energy_mev_per_atom=99 dft_energy_ev_per_cell=-24.3 pbc="T T T"
Tm 1.907 1.907 1.907
Tm 5.722 5.722 5.722
Pu 0.000 0.000 0.000
Mg 3.815 3.815 3.815